# Al2C (GGA-PBE, optimized geometry)
data_Al2C
_cell_length_a 5.100
_cell_length_b 5.100
_cell_length_c 5.100
_cell_angle_alpha 34.18
_cell_angle_beta 34.18
_cell_angle_gamma 34.18
_space_group_name_H-M_alt 'P 1'
_space_group_IT_number 1
loop_
_space_group_symop_operation_xyz
'x,y,z'
loop_
_atom_site_label
_atom_site_fract_x
_atom_site_fract_y
_atom_site_fract_z
_atom_site_occupancy
Al1 0.582 0.582 0.582 1
Al2 0.751 0.751 0.751 1
C1 0.999 0.999 0.999 1
# E_form ... 0.305 eV/atom
# Magnetization ... 0.000 μB per cell